Record 1
A plane-wave DFT calculation with PBE was carried out for an optimized crystal structure of Ca2ZnGeH.

Summary:
Magnetization   0.0 μB per cell
E above lowest polymorph   0.542 eV per formula unit

Cell lengths 4.8072, 4.8072, 4.0939 Å; angles 90.00, 90.00, 90.00 degrees
Fractional coordinates of all 5 atoms:
1 Ca 0.0000 0.5000 0.0000
2 Ca 0.5000 0.0000 0.0000
3 Zn 0.0000 0.0000 0.5000
4 Ge 0.5000 0.5000 0.5000
5 H 0.0000 0.0000 0.0000



Record 2
A plane-wave DFT calculation with PBE was carried out for an optimized crystal structure of CaZr2GeH.

Summary:
E_tot   -4.832 eV per atom
Magnetization   0.0 μB per cell

Cell lengths 5.5850, 5.5850, 3.5525 Å; angles 90.00, 90.00, 90.00 degrees
Fractional coordinates of all 5 atoms:
1 Ca 0.0000 0.0000 0.0000
2 Zr 0.0000 0.5000 0.5000
3 Zr 0.5000 0.0000 0.5000
4 Ge 0.5000 0.5000 0.5000
5 H 0.5000 0.5000 0.0000



Record 3
A plane-wave DFT calculation with PBE was carried out for an optimized crystal structure of CaHf2Ge2.

Summary:
Magnetization   0.0 μB per cell
E above lowest polymorph   0.000 eV per formula unit
E_form   -0.444 eV/atom

Cell lengths 4.4003, 4.4003, 11.9465 Å; angles 90.00, 90.00, 90.00 degrees
Fractional coordinates of all 10 atoms:
1 Ca 0.0000 0.0000 0.0000
2 Ca 0.5000 0.5000 0.5000
3 Hf 0.0000 0.5000 0.2500
4 Hf 0.0000 0.5000 0.7500
5 Hf 0.5000 0.0000 0.2500
6 Hf 0.5000 0.0000 0.7500
7 Ge 0.0000 0.0000 0.3876
8 Ge 0.0000 0.0000 0.6124
9 Ge 0.5000 0.5000 0.1124
10 Ge 0.5000 0.5000 0.8876



Record 4
A plane-wave DFT calculation with PBE was carried out for an optimized crystal structure of Ca3HfGe.

Summary:
Magnetization   2.2 μB per cell
E above lowest polymorph   3.241 eV per formula unit
E_form   1.117 eV/atom

Cell lengths 5.7543, 5.7543, 5.7543 Å; angles 90.00, 90.00, 90.00 degrees
Fractional coordinates of all 5 atoms:
1 Ca 0.0000 0.0000 0.5000
2 Ca 0.0000 0.5000 0.0000
3 Ca 0.5000 0.0000 0.0000
4 Hf 0.0000 0.0000 0.0000
5 Ge 0.5000 0.5000 0.5000



Record 5
A plane-wave DFT calculation with PBE was carried out for an optimized crystal structure of CaHfGe3.

Summary:
Magnetization   0.0 μB per cell
E_form   1.104 eV/atom

Cell lengths 5.0788, 5.0788, 5.0788 Å; angles 90.00, 90.00, 90.00 degrees
Fractional coordinates of all 5 atoms:
1 Ca 0.0000 0.0000 0.0000
2 Hf 0.5000 0.5000 0.5000
3 Ge 0.0000 0.0000 0.5000
4 Ge 0.0000 0.5000 0.0000
5 Ge 0.5000 0.0000 0.0000



Record 6
A plane-wave DFT calculation with PBE was carried out for an optimized crystal structure of CaHfGe3.

Summary:
Magnetization   0.0 μB per cell
E_form   -0.072 eV/atom

Cell lengths 5.1503, 5.1503, 5.1503 Å; angles 90.00, 90.00, 90.00 degrees
Fractional coordinates of all 5 atoms:
1 Ca 0.0000 0.0000 0.0000
2 Hf 0.5000 0.5000 0.5000
3 Ge 0.0000 0.5000 0.5000
4 Ge 0.5000 0.0000 0.5000
5 Ge 0.5000 0.5000 0.0000